[1]
Crystalline CaCrIr2 at its relaxed geometry, computed with PBE.

## Properties
Its total magnetic moment is 2.6 μB per cell. The energy above the most stable polymorph in this dataset is 0.4922 eV/atom. The formation energy is 0.364 eV/atom. As for the symmetry: F-43m, No. 216. For the calculated volume, the calculation gives 68.0 Å³/cell.

Cell lengths 4.581, 4.581, 4.581 Å; angles 60.00, 60.00, 60.00 degrees
Fractional coordinates of all 4 atoms:
Ca 0.000 0.000 0.000
Cr 0.750 0.750 0.750
Ir 0.250 0.250 0.250
Ir 0.500 0.500 0.500

[2]
Crystalline AgSe2Cl at its relaxed geometry, computed with PBE.

## Properties
Its total magnetic moment is 0.0 μB per cell. The energy above the most stable polymorph in this dataset is 0.0928 eV/atom. As for the symmetry: Pm, No. 6. For the calculated volume, the calculation gives 114.0 Å³/cell. The raw formation energy comes out at -0.096 eV/atom.

Cell lengths 3.594, 4.019, 8.030 Å; angles 90.00, 100.54, 90.00 degrees
Fractional coordinates of all 4 atoms:
Ag 0.000 0.000 0.000
Se 0.317 0.500 0.551
Se 0.384 0.000 0.720
Cl 0.539 0.500 0.092

[3]
Crystalline Ba2TlN at its relaxed geometry, computed with PBE.

## Properties
Its total magnetic moment is 0.0 μB per cell. As for the symmetry: I-42d, No. 122. For the calculated volume, the calculation gives 296.0 Å³/cell. The raw formation energy comes out at -0.174 eV/atom.

Cell lengths 7.311, 7.311, 7.311 Å; angles 113.88, 113.88, 100.97 degrees
Fractional coordinates of all 8 atoms:
Ba 0.021 0.625 0.896
Ba 0.375 0.271 0.396
Ba 0.729 0.125 0.104
Ba 0.875 0.979 0.604
Tl 0.250 0.750 0.500
Tl 0.500 0.500 0.000
N 0.000 0.000 0.000
N 0.750 0.250 0.500

[4]
Crystalline YLuSe3 at its relaxed geometry, computed with PBE.

## Properties
Its total magnetic moment is 0.0 μB per cell. The energy above the most stable polymorph in this dataset is 0.1438 eV/atom. As for the symmetry: P2_1/c, No. 14. For the calculated volume, the calculation gives 567.5 Å³/cell. The raw formation energy comes out at -1.736 eV/atom.

Cell lengths 8.957, 7.450, 9.883 Å; angles 90.00, 120.63, 90.00 degrees
Fractional coordinates of all 20 atoms:
Y 0.133 0.240 0.061
Y 0.133 0.260 0.561
Y 0.867 0.740 0.439
Y 0.867 0.760 0.939
Lu 0.275 0.658 0.887
Lu 0.275 0.842 0.387
Lu 0.725 0.158 0.613
Lu 0.725 0.342 0.113
Se 0.041 0.516 0.204
Se 0.041 0.984 0.704
Se 0.231 0.630 0.597
Se 0.231 0.870 0.097
Se 0.369 0.204 0.446
Se 0.369 0.296 0.946
Se 0.631 0.704 0.054
Se 0.631 0.796 0.554
Se 0.769 0.130 0.903
Se 0.769 0.370 0.403
Se 0.959 0.016 0.296
Se 0.959 0.484 0.796

[5]
Crystalline TcPdRh2 at its relaxed geometry, computed with PBE.

## Properties
Its total magnetic moment is 0.9 μB per cell. The energy above the most stable polymorph in this dataset is 0.1818 eV/atom. The formation energy is 0.094 eV/atom. As for the symmetry: P4/mmm, No. 123. For the calculated volume, the calculation gives 58.0 Å³/cell.

Cell lengths 3.901, 3.901, 3.815 Å; angles 90.00, 90.00, 90.00 degrees
Fractional coordinates of all 4 atoms:
Tc 0.000 0.000 0.000
Pd 0.500 0.500 0.000
Rh 0.000 0.500 0.500
Rh 0.500 0.000 0.500

[6]
Crystalline AcSmSe2O8 at its relaxed geometry, computed with PBE.

## Properties
Its total magnetic moment is 1.4 μB per cell. As for the symmetry: P-3m1, No. 164. For the calculated volume, the calculation gives 226.7 Å³/cell. The raw formation energy comes out at -1.711 eV/atom.

Cell lengths 5.923, 5.923, 7.464 Å; angles 90.00, 90.00, 120.00 degrees
Fractional coordinates of all 12 atoms:
Ac 0.000 0.000 0.000
Sm 0.000 0.000 0.500
Se 0.333 0.667 0.769
Se 0.667 0.333 0.231
O 0.158 0.315 0.724
O 0.158 0.842 0.724
O 0.315 0.158 0.276
O 0.333 0.667 0.994
O 0.667 0.333 0.006
O 0.685 0.842 0.724
O 0.842 0.158 0.276
O 0.842 0.685 0.276